Computed, not measured: LiSb at its PBEsol-relaxed geometry at the SCAN level of DFT.

Calculated values
Energy above the most stable polymorph in this dataset ... 54 meV per atom
Uncorrected formation energy ... -76.3 kJ/mol of formula units

```
data_LiSb
_cell_length_a 3.451
_cell_length_b 3.451
_cell_length_c 3.451
_cell_angle_alpha 90.00
_cell_angle_beta 90.00
_cell_angle_gamma 90.00
_space_group_name_H-M_alt 'P m -3 m'
_space_group_IT_number 221
_space_group_name_Hall '-P 4 2 3'
loop_
_atom_site_label
_atom_site_type_symbol
_atom_site_fract_x
_atom_site_fract_y
_atom_site_fract_z
Li1 Li 0.000 0.000 0.000
Sb1 Sb 0.500 0.500 0.500
```

***

Computed, not measured: LiSb at its PBEsol-relaxed geometry at the SCAN level of DFT.

Calculated values
Energy above the most stable polymorph in this dataset ... 26 meV per atom
Uncorrected formation energy ... -81.6 kJ/mol of formula units

```
data_LiSb
_cell_length_a 11.271
_cell_length_b 3.152
_cell_length_c 5.060
_cell_angle_alpha 90.00
_cell_angle_beta 110.05
_cell_angle_gamma 90.00
_space_group_name_H-M_alt 'C 1 2/m 1'
_space_group_IT_number 12
loop_
_space_group_symop_operation_xyz
'x,y,z'
'-x,-y,-z'
'-x,y,-z'
'x,-y,z'
'x+1/2,y+1/2,z'
'-x+1/2,-y+1/2,-z'
'-x+1/2,y+1/2,-z'
'x+1/2,-y+1/2,z'
loop_
_atom_site_label
_atom_site_type_symbol
_atom_site_fract_x
_atom_site_fract_y
_atom_site_fract_z
Li1 Li 0.121 0.000 0.259
Sb1 Sb 0.119 0.500 0.752
```

***

Computed, not measured: Li2Sb at its PBEsol-relaxed geometry at the SCAN level of DFT.

Calculated values
Energy above the most stable polymorph in this dataset ... 61 meV per atom
Uncorrected formation energy ... -162.7 kJ/mol of formula units

```
data_Li2Sb
_cell_length_a 4.5896
_cell_length_b 4.5896
_cell_length_c 3.1591
_cell_angle_alpha 90.00
_cell_angle_beta 90.00
_cell_angle_gamma 120.00
_space_group_name_H-M_alt 'P -3 m 1'
_space_group_IT_number 164
_space_group_name_Hall '-P 3 2"'
loop_
_atom_site_label
_atom_site_type_symbol
_atom_site_fract_x
_atom_site_fract_y
_atom_site_fract_z
Li1 Li 0.3333 0.6667 0.3010
Sb1 Sb 0.0000 0.0000 0.0000
```

***

Computed, not measured: LiSb at its PBEsol-relaxed geometry at the SCAN level of DFT.

Calculated values
Energy above the most stable polymorph in this dataset ... 874 meV per atom
Uncorrected formation energy ... 82.0 kJ/mol of formula units

```
data_LiSb
_cell_length_a 6.035
_cell_length_b 6.035
_cell_length_c 6.035
_cell_angle_alpha 90.00
_cell_angle_beta 90.00
_cell_angle_gamma 90.00
_space_group_name_H-M_alt 'F -4 3 m'
_space_group_IT_number 216
_space_group_name_Hall 'F -4 2 3'
loop_
_atom_site_label
_atom_site_type_symbol
_atom_site_fract_x
_atom_site_fract_y
_atom_site_fract_z
Li1 Li 0.000 0.000 0.000
Sb1 Sb 0.250 0.250 0.250
```

***

Computed, not measured: LiSb at its PBEsol-relaxed geometry at the SCAN level of DFT.

Calculated values
Energy above the most stable polymorph in this dataset ... 0 meV per atom
Uncorrected formation energy ... -86.7 kJ/mol of formula units

```
data_LiSb
_cell_length_a 3.160
_cell_length_b 3.160
_cell_length_c 4.190
_cell_angle_alpha 90.00
_cell_angle_beta 90.00
_cell_angle_gamma 90.00
_space_group_name_H-M_alt 'P 4/m m m'
_space_group_IT_number 123
_space_group_name_Hall '-P 4 2'
loop_
_atom_site_label
_atom_site_type_symbol
_atom_site_fract_x
_atom_site_fract_y
_atom_site_fract_z
Li1 Li 0.000 0.000 0.000
Sb1 Sb 0.500 0.500 0.500
```

***

Computed, not measured: Li2Sb at its PBEsol-relaxed geometry at the SCAN level of DFT.

Calculated values
Energy above the most stable polymorph in this dataset ... 75 meV per atom
Uncorrected formation energy ... -158.6 kJ/mol of formula units

```
data_Li2Sb
_cell_length_a 3.666
_cell_length_b 3.666
_cell_length_c 8.398
_cell_angle_alpha 90.00
_cell_angle_beta 90.00
_cell_angle_gamma 90.00
_space_group_name_H-M_alt 'I 4/m m m'
_space_group_IT_number 139
_space_group_name_Hall '-I 4 2'
loop_
_atom_site_label
_atom_site_type_symbol
_atom_site_fract_x
_atom_site_fract_y
_atom_site_fract_z
Li1 Li 0.000 0.000 0.163
Sb1 Sb 0.000 0.000 0.500
```